## Nd2CdNi3Ge4 (PBE)

Data for a relaxed Nd2CdNi3Ge4 crystal.

Output
As for the energy of formation from the pure elements: -0.596 eV per atom. As for the calculated volume: 18.117 A^3/atom.

Cell lengths 4.221, 4.221, 10.170 Å; angles 90.00, 90.00, 90.00 degrees
Space group P-4m2 (No. 115)
One atom of each set of equivalent atoms:
Nd 0.000 0.500 0.236 [2 per cell]
Cd 0.000 0.000 0.500 [1 per cell]
Ni 0.000 0.500 0.887 [2 per cell]
Ni 0.500 0.500 0.500 [1 per cell]
Ge 0.000 0.000 0.000 [1 per cell]
Ge 0.000 0.500 0.656 [2 per cell]
Ge 0.500 0.500 0.000 [1 per cell]


## InCoHg3 (PBE)

Data for a relaxed InCoHg3 crystal.

Output
As for the energy of formation from the pure elements: 0.310 eV per atom. As for the calculated volume: 25.961 A^3/atom.

Cell lengths 5.063, 5.063, 5.063 Å; angles 90.00, 90.00, 90.00 degrees
Space group Pm-3m (No. 221)
One atom of each set of equivalent atoms:
In 0.000 0.000 0.000 [1 per cell]
Co 0.500 0.500 0.500 [1 per cell]
Hg 0.000 0.500 0.500 [3 per cell]


## TaVHRu2 (PBE)

Data for a relaxed TaVHRu2 crystal.

Output
The energy is -0.3210 hartree per atom. As for the calculated volume: 12.269 A^3/atom.

Cell lengths 4.011, 4.011, 3.812 Å; angles 90.00, 90.00, 90.00 degrees
Space group P4/mmm (No. 123)
One atom of each set of equivalent atoms:
Ta 0.000 0.000 0.000 [1 per cell]
V 0.500 0.500 0.000 [1 per cell]
H 0.500 0.500 0.500 [1 per cell]
Ru 0.000 0.500 0.500 [2 per cell]


## Na2PaPb3Se6 (PBE)

Data for a relaxed Na2PaPb3Se6 crystal.

Output
For the energy relative to the elements, uncorrected, the calculation gives -0.939 eV per atom. As for the calculated volume: 28.610 A^3/atom.

Cell lengths 7.485, 12.930, 7.506 Å; angles 90.00, 109.08, 90.00 degrees
Space group C2/m (No. 12)
One atom of each set of equivalent atoms:
Na 0.000 0.168 0.000 [4 per cell]
Pa 0.000 0.500 0.000 [2 per cell]
Pb 0.000 0.000 0.500 [2 per cell]
Pb 0.000 0.335 0.500 [4 per cell]
Se 0.234 0.500 0.757 [4 per cell]
Se 0.236 0.344 0.233 [8 per cell]


Please write out number 1 again, unchanged.
## Nd2CdNi3Ge4 (PBE)

Data for a relaxed Nd2CdNi3Ge4 crystal.

Output
As for the energy of formation from the pure elements: -0.596 eV per atom. As for the calculated volume: 18.117 A^3/atom.

Cell lengths 4.221, 4.221, 10.170 Å; angles 90.00, 90.00, 90.00 degrees
Space group P-4m2 (No. 115)
One atom of each set of equivalent atoms:
Nd 0.000 0.500 0.236 [2 per cell]
Cd 0.000 0.000 0.500 [1 per cell]
Ni 0.000 0.500 0.887 [2 per cell]
Ni 0.500 0.500 0.500 [1 per cell]
Ge 0.000 0.000 0.000 [1 per cell]
Ge 0.000 0.500 0.656 [2 per cell]
Ge 0.500 0.500 0.000 [1 per cell]


- Which value of calculated volume does entry 2 give?
  25.961 A^3/atom


- Which of these has the highest calculated volume?
  Na2PaPb3Se6